DFT (GGA-PBE) results for a relaxed structure of Pm2PrHo.

```
Pm2PrHo
1.0
3.644 0.000 0.000
1.822 3.156 0.000
1.822 1.052 11.833
Pr Pm Ho
1 2 1
Direct
0.500 0.500 0.500 Pr
0.081 0.081 0.756 Pm
0.252 0.252 0.244 Pm
0.667 0.667 0.000 Ho
```

Calculated values
Crystal system: trigonal
ΔH_f (0 K) (meV per atom): 19
Polymorph energy (0 for the lowest one) (meV/atom): 3
Calculated density (Mg/m³): 7.27